# SrPu2O4 PBE relaxed
# E_form (uncorrected) = -2.64 eV per atom
# energy = -9.809 eV/atom
data_SrPu2O4
_chemical_formula_sum 'Sr1 Pu2 O4'
_cell_length_a 6.018
_cell_length_b 3.544
_cell_length_c 6.224
_cell_angle_alpha 90.00
_cell_angle_beta 90.96
_cell_angle_gamma 90.00
_space_group_name_H-M_alt 'P 1 2/m 1'
_space_group_IT_number 10
_space_group_name_Hall '-P 2y'
loop_
_atom_site_label
_atom_site_type_symbol
_atom_site_fract_x
_atom_site_fract_y
_atom_site_fract_z
Sr1 Sr 0.000 0.000 0.000
Pu1 Pu 0.000 0.000 0.500
Pu2 Pu 0.500 0.500 0.500
O1 O 0.140 0.500 0.716
O2 O 0.323 0.000 0.321

***

# DyPuZnRh PBE relaxed
# energy = -7.269 eV/atom
data_DyPuZnRh
_chemical_formula_sum 'Dy4 Pu4 Zn4 Rh4'
_cell_length_a 6.986
_cell_length_b 6.986
_cell_length_c 6.986
_cell_angle_alpha 90.00
_cell_angle_beta 90.00
_cell_angle_gamma 90.00
_space_group_name_H-M_alt 'F -4 3 m'
_space_group_IT_number 216
_space_group_name_Hall 'F -4 2 3'
loop_
_atom_site_label
_atom_site_type_symbol
_atom_site_fract_x
_atom_site_fract_y
_atom_site_fract_z
Dy1 Dy 0.000 0.000 0.000
Pu1 Pu 0.000 0.000 0.500
Zn1 Zn 0.250 0.250 0.250
Rh1 Rh 0.250 0.250 0.750

***

# LiAg PBE relaxed
# energy = -2.499 eV/atom
data_LiAg
_chemical_formula_sum 'Li8 Ag8'
_cell_length_a 8.262
_cell_length_b 8.262
_cell_length_c 4.394
_cell_angle_alpha 90.00
_cell_angle_beta 90.00
_cell_angle_gamma 90.00
_space_group_name_H-M_alt 'I 4/m m m'
_space_group_IT_number 139
_space_group_name_Hall '-I 4 2'
loop_
_atom_site_label
_atom_site_type_symbol
_atom_site_fract_x
_atom_site_fract_y
_atom_site_fract_z
Li1 Li 0.000 0.292 0.000
Ag1 Ag 0.171 0.171 0.500

***

# PrNd2Dy2Ho2 PBE relaxed
# energy = -4.650 eV/atom
data_PrNd2Dy2Ho2
_chemical_formula_sum 'Pr2 Nd4 Dy4 Ho4'
_cell_length_a 11.363
_cell_length_b 5.089
_cell_length_c 8.075
_cell_angle_alpha 90.00
_cell_angle_beta 98.17
_cell_angle_gamma 90.00
_space_group_name_H-M_alt 'C 1 2/m 1'
_space_group_IT_number 12
_space_group_name_Hall '-C 2y'
loop_
_atom_site_label
_atom_site_type_symbol
_atom_site_fract_x
_atom_site_fract_y
_atom_site_fract_z
Pr1 Pr 0.000 0.000 0.000
Nd1 Nd 0.143 0.000 0.429
Dy1 Dy 0.215 0.500 0.141
Ho1 Ho 0.072 0.500 0.715

***

# Sr4LaIn5 PBE relaxed
# energy = -2.979 eV/atom
data_Sr4LaIn5
_chemical_formula_sum 'Sr4 La1 In5'
_cell_length_a 4.052
_cell_length_b 4.052
_cell_length_c 20.195
_cell_angle_alpha 90.00
_cell_angle_beta 90.00
_cell_angle_gamma 90.00
_space_group_name_H-M_alt 'P 4/m m m'
_space_group_IT_number 123
_space_group_name_Hall '-P 4 2'
loop_
_atom_site_label
_atom_site_type_symbol
_atom_site_fract_x
_atom_site_fract_y
_atom_site_fract_z
Sr1 Sr 0.000 0.000 0.101
Sr2 Sr 0.000 0.000 0.302
La1 La 0.000 0.000 0.500
In1 In 0.500 0.500 0.000
In2 In 0.500 0.500 0.201
In3 In 0.500 0.500 0.406

***

Copy entry 4 word for word.
# PrNd2Dy2Ho2 PBE relaxed
# energy = -4.650 eV/atom
data_PrNd2Dy2Ho2
_chemical_formula_sum 'Pr2 Nd4 Dy4 Ho4'
_cell_length_a 11.363
_cell_length_b 5.089
_cell_length_c 8.075
_cell_angle_alpha 90.00
_cell_angle_beta 98.17
_cell_angle_gamma 90.00
_space_group_name_H-M_alt 'C 1 2/m 1'
_space_group_IT_number 12
_space_group_name_Hall '-C 2y'
loop_
_atom_site_label
_atom_site_type_symbol
_atom_site_fract_x
_atom_site_fract_y
_atom_site_fract_z
Pr1 Pr 0.000 0.000 0.000
Nd1 Nd 0.143 0.000 0.429
Dy1 Dy 0.215 0.500 0.141
Ho1 Ho 0.072 0.500 0.715